Zn2PIr | GGA-PBEsol | optimized geometry

Lattice parameters (Å, degrees): 3.009 3.903 5.025 90.00 107.55 90.00
Space group Pm (No. 6)
One atom of each set of equivalent atoms:
Zn (0.000, 0.000, 0.000) x1
Zn (0.345, 0.500, 0.688) x1
P (0.745, 0.000, 0.487) x1
Ir (0.612, 0.500, 0.223) x1

Calculated values
DOS at the Fermi energy, states/eV/f.u.: 1.7
Formation energy from the elements, kcal/mol of atoms: -3.20
E_tot, eV/atom: -4.83

Zn3ReI | GGA-PBEsol | optimized geometry

Lattice parameters (Å, degrees): 4.959 4.959 4.959 90.00 90.00 90.00
Space group Pm-3m (No. 221)
One atom of each set of equivalent atoms:
Zn (0.000, 0.000, 0.500) x3
Re (0.000, 0.000, 0.000) x1
I (0.500, 0.500, 0.500) x1

Calculated values
DOS at the Fermi energy, states/eV/f.u.: 2.4
ΔE_f (raw), eV/atom: 1.02
E_tot, eV/atom: -2.95

LiBe2W | GGA-PBEsol | optimized geometry

Lattice parameters (Å, degrees): 5.533 5.533 5.533 90.00 90.00 90.00
Space group F-43m (No. 216)
One atom of each set of equivalent atoms:
Li (0.000, 0.000, 0.000) x4
Be (0.000, 0.000, 0.500) x4
Be (0.250, 0.250, 0.250) x4
W (0.250, 0.250, 0.750) x4

Calculated values
DOS at the Fermi energy, states/eV/f.u.: 3.0
Formation energy from the elements, kcal/mol of atoms: 14.28
E_tot, eV/atom: -5.32
E above lowest polymorph, meV/atom: 397.2

Mg2AlTc | GGA-PBEsol | optimized geometry

Lattice parameters (Å, degrees): 9.260 2.751 5.216 90.00 96.30 90.00
Space group Cm (No. 8)
One atom of each set of equivalent atoms:
Mg (0.000, 0.000, 0.000) x2
Mg (0.239, 0.000, 0.738) x2
Al (0.254, 0.500, 0.277) x2
Tc (0.492, 0.000, 0.484) x2

Calculated values
DOS at the Fermi energy, states/eV/f.u.: 1.5
Formation energy from the elements, kcal/mol of atoms: 2.12
E_tot, eV/atom: -4.61

CoNi3Os | GGA-PBEsol | optimized geometry

Lattice parameters (Å, degrees): 4.082 4.082 4.082 90.00 90.00 90.00
Space group Pm-3m (No. 221)
One atom of each set of equivalent atoms:
Co (0.000, 0.000, 0.000) x1
Ni (0.000, 0.000, 0.500) x3
Os (0.500, 0.500, 0.500) x1

Calculated values
DOS at the Fermi energy, states/eV/f.u.: 9.4
Formation energy from the elements, kcal/mol of atoms: 35.26
E_tot, eV/atom: -6.16

CrPtSCl2 | GGA-PBEsol | optimized geometry

Lattice parameters (Å, degrees): 4.738 4.738 4.726 90.00 90.00 90.00
Space group P4/mmm (No. 123)
One atom of each set of equivalent atoms:
Cr (0.000, 0.000, 0.000) x1
Pt (0.500, 0.500, 0.500) x1
S (0.500, 0.500, 0.000) x1
Cl (0.000, 0.500, 0.500) x2

Calculated values
DOS at the Fermi energy, states/eV/f.u.: 5.1
ΔE_f (raw), eV/atom: 0.33
E_tot, eV/atom: -4.79

Al3WSe | GGA-PBEsol | optimized geometry

Lattice parameters (Å, degrees): 4.885 4.885 4.885 90.00 90.00 90.00
Space group Pm-3m (No. 221)
One atom of each set of equivalent atoms:
Al (0.000, 0.000, 0.500) x3
W (0.000, 0.000, 0.000) x1
Se (0.500, 0.500, 0.500) x1

Calculated values
DOS at the Fermi energy, states/eV/f.u.: 6.0
ΔE_f (raw), eV/atom: 0.99
E_tot, eV/atom: -4.99

V3Ni20B6 | GGA-PBEsol | optimized geometry

Lattice parameters (Å, degrees): 10.333 10.333 10.333 90.00 90.00 90.00
Space group Fm-3m (No. 225)
One atom of each set of equivalent atoms:
V (0.000, 0.000, 0.000) x4
V (0.250, 0.250, 0.250) x8
Ni (0.000, 0.170, 0.170) x48
Ni (0.119, 0.119, 0.381) x32
B (0.000, 0.000, 0.269) x24

Calculated values
DOS at the Fermi energy, states/eV/f.u.: 22.4
Formation energy from the elements, kcal/mol of atoms: -8.29
E_tot, eV/atom: -7.05

> Which value of E_tot does entry 1 give?

-4.83 eV/atom